{
  "formula": "TaFeBr2",
  "functional": "GGA-PBE",
  "state": "relaxed",
  "raw_formation_energy_ev_per_atom": 0.013,
  "magnetic_moment_mub_per_cell": 0.00,
  "lattice": [[-6.7280, -1.0911, 3.9664], [-5.5324, -4.1383, 3.8022], [1.7001, 0.4847, 3.3836]],
  "species": ["Br", "Br", "Ta", "Fe"],
  "fractional_positions": [[0.1142, 0.1142, 0.9746], [0.3858, 0.3858, 0.5254], [0.7500, 0.7500, 0.7500], [0.2500, 0.2500, 0.2500]]
}